# 1
First-principles (PBE) data for crystalline In4AgHg5 at its relaxed geometry, as listed in the Alexandria database.

POSCAR file:
```
In4AgHg5
1.0
5.094 0.000 0.000
-0.783 6.117 0.000
-1.427 -2.879 8.273
In Ag Hg
4 1 5
Cartesian
-0.308 1.882 1.131
0.647 -0.240 5.385
2.238 3.478 2.887
3.193 1.356 7.141
2.156 3.058 0.000
-0.381 5.175 2.159
-0.096 2.693 4.734
2.547 0.000 0.000
2.981 0.546 3.539
3.266 -1.937 6.113
```

Results
**Magnetic moment**: 0.00 Bohr magnetons per cell
**Energy**: -0.055 hartree per atom
**ΔH_f (0 K)**: 0.02 eV/atom
**Space-group type**: P-1, No. 2
**D(E_F)**: 2.595 states/eV/f.u.
**Crystal system**: triclinic

# 2
First-principles (PBE) data for crystalline BaSr2CdMo at its relaxed geometry, as listed in the Alexandria database.

POSCAR file:
```
BaSr2CdMo
1.0
6.123 0.000 0.000
0.000 6.123 0.000
0.000 0.000 5.652
Ba Sr Cd Mo
1 2 1 1
Cartesian
0.000 0.000 0.000
0.000 3.061 0.000
3.061 0.000 0.000
0.000 0.000 2.826
3.061 3.061 2.826
```

Results
**Magnetic moment**: 0.00 Bohr magnetons per cell
**Energy**: -0.052 hartree per atom
**ΔH_f (0 K)**: 2.00 eV/atom
**Space-group type**: P4/mmm, No. 123
**D(E_F)**: 13.771 states/eV/f.u.
**Crystal system**: tetragonal

# 3
First-principles (PBE) data for crystalline DyZn6GaAg at its relaxed geometry, as listed in the Alexandria database.

POSCAR file:
```
DyZn6GaAg
1.0
-2.640 4.935 7.008
2.640 -4.935 7.008
2.640 4.935 -7.008
Dy Zn Ga Ag
2 12 2 2
Cartesian
0.000 2.467 2.409
2.640 2.467 4.599
1.301 -0.199 2.202
3.978 -0.199 2.202
2.640 -2.467 6.330
2.640 2.467 1.005
1.301 4.736 -2.202
1.339 -0.199 4.806
1.301 5.133 2.202
1.339 0.199 9.210
0.000 2.467 6.003
0.000 7.402 0.678
-1.339 5.133 4.806
1.339 5.133 4.806
1.320 2.467 -3.504
1.320 -2.467 3.504
2.640 0.000 0.000
0.000 0.000 7.008
```

Results
**Magnetic moment**: 0.00 Bohr magnetons per cell
**Energy**: -0.069 hartree per atom
**ΔH_f (0 K)**: 0.14 eV/atom
**Space-group type**: Imma, No. 74
**D(E_F)**: 3.910 states/eV/f.u.
**Crystal system**: orthorhombic

# 4
First-principles (PBE) data for crystalline Te2POs at its relaxed geometry, as listed in the Alexandria database.

POSCAR file:
```
Te2POs
1.0
3.120 0.000 0.000
0.000 3.559 0.000
0.000 0.000 7.903
Te P Os
2 1 1
Cartesian
0.000 0.000 0.000
1.560 1.780 3.178
1.560 1.780 5.994
0.000 0.000 5.176
```

Results
**Magnetic moment**: 0.00 Bohr magnetons per cell
**Energy**: -0.194 hartree per atom
**Space-group type**: Pmm2, No. 25
**Relative energy among the computed polymorphs**: 0.3527 eV/atom
**D(E_F)**: 2.520 states/eV/f.u.
**Crystal system**: orthorhombic
**Raw formation energy**: 1.80 eV/f.u.

# 5
First-principles (PBE) data for crystalline FeNiW2 at its relaxed geometry, as listed in the Alexandria database.

POSCAR file:
```
FeNiW2
1.0
8.734 0.000 0.000
0.000 2.734 0.000
-0.848 0.000 4.513
Fe Ni W
2 2 4
Cartesian
0.000 0.000 0.000
4.367 1.367 0.000
1.664 0.000 3.282
6.031 1.367 3.282
-0.333 1.367 2.371
1.986 1.367 0.926
4.034 0.000 2.371
6.353 0.000 0.926
```

Results
**Magnetic moment**: 0.01 Bohr magnetons per cell
**Energy**: -0.363 hartree per atom
**ΔH_f (0 K)**: 0.15 eV/atom
**Space-group type**: Cm, No. 8
**Relative energy among the computed polymorphs**: 0.0755 eV/atom
**D(E_F)**: 3.871 states/eV/f.u.
**Crystal system**: monoclinic

# 6
First-principles (PBE) data for crystalline Sr2CaPr at its relaxed geometry, as listed in the Alexandria database.

POSCAR file:
```
Sr2CaPr
1.0
3.952 0.000 0.000
0.000 3.952 0.000
0.000 0.000 11.573
Sr Ca Pr
2 1 1
Cartesian
0.000 0.000 2.797
0.000 0.000 8.775
1.976 1.976 5.786
1.976 1.976 0.000
```

Results
**Magnetic moment**: 0.00 Bohr magnetons per cell
**Energy**: -0.089 hartree per atom
**ΔH_f (0 K)**: 0.10 eV/atom
**Space-group type**: P4/mmm, No. 123
**Relative energy among the computed polymorphs**: 0.0059 eV/atom
**D(E_F)**: 6.799 states/eV/f.u.
**Crystal system**: tetragonal

# 7
First-principles (PBE) data for crystalline Al4TcAs at its relaxed geometry, as listed in the Alexandria database.

POSCAR file:
```
Al4TcAs
1.0
0.000 3.626 3.626
3.626 0.000 3.626
3.626 3.626 0.000
Al Tc As
4 1 1
Cartesian
2.726 2.726 2.726
4.527 4.527 2.726
4.527 2.726 4.527
2.726 4.527 4.527
5.440 5.440 5.440
0.000 0.000 0.000
```

Results
**Magnetic moment**: 0.00 Bohr magnetons per cell
**Energy**: -0.178 hartree per atom
**ΔH_f (0 K)**: 0.15 eV/atom
**Space-group type**: F-43m, No. 216
**D(E_F)**: 3.415 states/eV/f.u.
**Crystal system**: cubic

# 8
First-principles (PBE) data for crystalline ZrCd2Se at its relaxed geometry, as listed in the Alexandria database.

POSCAR file:
```
ZrCd2Se
1.0
3.395 0.000 0.000
-1.697 2.940 0.000
0.000 0.000 27.484
Zr Cd Se
3 6 3
Cartesian
0.000 0.000 0.000
0.000 1.960 18.322
1.697 0.980 9.161
0.000 0.000 6.693
0.000 0.000 20.790
0.000 1.960 11.629
0.000 1.960 25.016
1.697 0.980 2.468
1.697 0.980 15.854
0.000 0.000 13.742
0.000 1.960 4.581
1.697 0.980 22.903
```

Results
**Magnetic moment**: 0.00 Bohr magnetons per cell
**Energy**: -0.128 hartree per atom
**Space-group type**: R-3m, No. 166
**D(E_F)**: 3.399 states/eV/f.u.
**Crystal system**: trigonal
**Raw formation energy**: -0.02 eV/f.u.

# 9
First-principles (PBE) data for crystalline LiHoBiO at its relaxed geometry, as listed in the Alexandria database.

POSCAR file:
```
LiHoBiO
1.0
4.276 0.000 0.000
0.000 4.500 0.000
0.000 0.000 4.689
Li Ho Bi O
1 1 1 1
Cartesian
0.000 0.000 0.000
2.138 2.250 0.000
2.138 0.000 2.345
0.000 2.250 0.000
```

Results
**Magnetic moment**: 0.00 Bohr magnetons per cell
**Energy**: -0.193 hartree per atom
**Space-group type**: Pmmm, No. 47
**D(E_F)**: 0.673 states/eV/f.u.
**Crystal system**: orthorhombic
**Raw formation energy**: -5.69 eV/f.u.

# 10
First-principles (PBE) data for crystalline BaAl2Si at its relaxed geometry, as listed in the Alexandria database.

POSCAR file:
```
BaAl2Si
1.0
5.131 0.000 0.000
0.000 8.921 0.000
0.000 0.000 5.066
Ba Al Si
2 4 2
Cartesian
0.000 0.000 0.000
2.566 4.460 0.000
1.283 2.230 2.533
1.283 6.691 2.533
3.848 2.230 2.533
3.848 6.691 2.533
0.000 4.460 2.533
2.566 0.000 2.533
```

Results
**Magnetic moment**: 0.00 Bohr magnetons per cell
**Energy**: -0.137 hartree per atom
**Space-group type**: Cmmm, No. 65
**D(E_F)**: 2.656 states/eV/f.u.
**Crystal system**: orthorhombic
**Raw formation energy**: -0.09 eV/f.u.

# 11
First-principles (PBE) data for crystalline GaOs2C at its relaxed geometry, as listed in the Alexandria database.

POSCAR file:
```
GaOs2C
1.0
5.817 0.000 0.000
0.000 5.817 0.000
0.000 0.000 5.817
Ga Os C
4 8 4
Cartesian
0.000 0.000 0.000
0.000 2.908 2.908
2.908 0.000 2.908
2.908 2.908 0.000
1.454 1.454 1.454
1.454 1.454 4.362
1.454 4.362 1.454
1.454 4.362 4.362
4.362 1.454 1.454
4.362 1.454 4.362
4.362 4.362 1.454
4.362 4.362 4.362
0.000 0.000 2.908
0.000 2.908 0.000
2.908 0.000 0.000
2.908 2.908 2.908
```

Results
**Magnetic moment**: 0.00 Bohr magnetons per cell
**Energy**: -0.273 hartree per atom
**ΔH_f (0 K)**: 1.24 eV/atom
**Space-group type**: Fm-3m, No. 225
**Relative energy among the computed polymorphs**: 0.7380 eV/atom
**D(E_F)**: 2.149 states/eV/f.u.
**Crystal system**: cubic

# 12
First-principles (PBE) data for crystalline Ho2TmRh4 at its relaxed geometry, as listed in the Alexandria database.

POSCAR file:
```
Ho2TmRh4
1.0
4.798 0.000 0.000
0.000 4.798 0.000
0.000 0.000 12.300
Ho Tm Rh
4 2 8
Cartesian
0.000 0.000 2.769
0.000 0.000 9.531
2.399 2.399 3.381
2.399 2.399 8.919
0.000 0.000 6.150
2.399 2.399 0.000
0.000 2.399 1.482
0.000 2.399 4.668
0.000 2.399 7.632
0.000 2.399 10.818
2.399 0.000 1.482
2.399 0.000 4.668
2.399 0.000 7.632
2.399 0.000 10.818
```

Results
**Magnetic moment**: 0.00 Bohr magnetons per cell
**Energy**: -0.247 hartree per atom
**ΔH_f (0 K)**: -0.58 eV/atom
**Space-group type**: I4/mmm, No. 139
**D(E_F)**: 2.898 states/eV/f.u.
**Crystal system**: tetragonal